# Re2TcP

A relaxed Re2TcP crystal (PBE-GGA, Alexandria via LeMat-Bulk).

It has space group Pmm2 (No. 25), with a = 2.8704 Å, b = 3.9427 Å, c = 5.0893 Å, α = 90.00°, β = 90.00° and γ = 90.00°. The inequivalent atoms are Re at (0.0000, 0.0000, 0.0000), Re at (0.5000, 0.5000, 0.2095), Tc at (0.0000, 0.0000, 0.5223) and P at (0.5000, 0.5000, 0.7148).

The calculation puts the formation energy at 0.46 eV per formula unit.

---

# Re2TcP

A relaxed Re2TcP crystal (PBE-GGA, Alexandria via LeMat-Bulk).

It has space group F-43m (No. 216), with a = 6.1184 Å, b = 6.1184 Å, c = 6.1184 Å, α = 90.00°, β = 90.00° and γ = 90.00°. The inequivalent atoms are Re at (0.0000, 0.0000, 0.0000), Re at (0.2500, 0.2500, 0.2500), Tc at (0.2500, 0.2500, 0.7500) and P at (0.0000, 0.0000, 0.5000).

The calculation puts the formation energy at 1.08 eV per formula unit.

---

# ReTc3P

A relaxed ReTc3P crystal (PBE-GGA, Alexandria via LeMat-Bulk).

It has space group C2/m (No. 12), with a = 13.6184 Å, b = 4.1041 Å, c = 5.4062 Å, α = 90.00°, β = 111.24° and γ = 90.00°. The inequivalent atoms are Re at (0.0834, 0.0000, 0.3274), Tc at (0.0000, 0.5000, 0.0000), Tc at (0.0000, 0.5000, 0.5000), Tc at (0.1273, 0.0000, 0.8829), Tc at (0.2034, 0.5000, 0.3045) and P at (0.1937, 0.5000, 0.7379).

The calculation puts the formation energy at -0.80 eV per formula unit. As for the offset from the most stable computed form: 0.00 kJ per mole of atoms.

---

# URe2TcP2

A relaxed URe2TcP2 crystal (PBE-GGA, Alexandria via LeMat-Bulk).

It has space group Pmc2_1 (No. 26), with a = 3.9939 Å, b = 7.1646 Å, c = 6.5169 Å, α = 90.00°, β = 90.00° and γ = 90.00°. The inequivalent atoms are U at (0.0000, 0.0965, 0.0000), Re at (0.0000, 0.3146, 0.3812), Re at (0.5000, 0.4177, 0.0852), Tc at (0.5000, 0.1991, 0.6888), P at (0.0000, 0.3945, 0.7319) and P at (0.5000, 0.1356, 0.3079).

The calculation puts the formation energy at -1.93 eV per formula unit.

---

# UReTc2P2

A relaxed UReTc2P2 crystal (PBE-GGA, Alexandria via LeMat-Bulk).

It has space group Pmc2_1 (No. 26), with a = 3.9521 Å, b = 6.9945 Å, c = 6.7519 Å, α = 90.00°, β = 90.00° and γ = 90.00°. The inequivalent atoms are U at (0.0000, 0.1070, 0.0000), Re at (0.5000, 0.1969, 0.6775), Tc at (0.0000, 0.3175, 0.3780), Tc at (0.5000, 0.4048, 0.0733), P at (0.0000, 0.3966, 0.7134) and P at (0.5000, 0.1338, 0.3089).

The calculation puts the formation energy at -2.63 eV per formula unit.

---

# VReTcP

A relaxed VReTcP crystal (PBE-GGA, Alexandria via LeMat-Bulk).

It has space group F-43m (No. 216), with a = 5.9707 Å, b = 5.9707 Å, c = 5.9707 Å, α = 90.00°, β = 90.00° and γ = 90.00°. The inequivalent atoms are V at (0.0000, 0.0000, 0.0000), Re at (0.2500, 0.2500, 0.7500), Tc at (0.2500, 0.2500, 0.2500) and P at (0.0000, 0.0000, 0.5000).

The calculation puts the formation energy at -0.74 eV per formula unit.

---

# ZnRe2TcP

A relaxed ZnRe2TcP crystal (PBE-GGA, Alexandria via LeMat-Bulk).

It has space group P4/mmm (No. 123), with a = 4.6831 Å, b = 4.6831 Å, c = 4.6806 Å, α = 90.00°, β = 90.00° and γ = 90.00°. The inequivalent atoms are Zn at (0.0000, 0.0000, 0.0000), Re at (0.0000, 0.5000, 0.5000), Tc at (0.0000, 0.0000, 0.5000) and P at (0.5000, 0.5000, 0.0000).

The calculation puts the formation energy at 9.53 eV per formula unit.

---

# ZrRe2TcP

A relaxed ZrRe2TcP crystal (PBE-GGA, Alexandria via LeMat-Bulk).

It has space group P4/mmm (No. 123), with a = 4.4179 Å, b = 4.4179 Å, c = 4.3866 Å, α = 90.00°, β = 90.00° and γ = 90.00°. The inequivalent atoms are Zr at (0.0000, 0.0000, 0.0000), Re at (0.0000, 0.5000, 0.5000), Tc at (0.5000, 0.5000, 0.0000) and P at (0.5000, 0.5000, 0.5000).

The calculation puts the formation energy at 0.91 eV per formula unit.